1.
# TbY3Pd6 (PBE-GGA, relaxed)
data_TbY3Pd6
_chemical_formula_sum 'Tb2 Y6 Pd12'
_space_group_name_H-M_alt 'P 1'
_space_group_IT_number 1
_space_group_name_Hall 'P 1'
_cell_length_a 4.599
_cell_length_b 8.164
_cell_length_c 11.375
_cell_angle_alpha 103.35
_cell_angle_beta 90.00
_cell_angle_gamma 90.00
loop_
_atom_site_label
_atom_site_type_symbol
_atom_site_fract_x
_atom_site_fract_y
_atom_site_fract_z
Tb1 Tb 0.250 0.903 0.592
Tb2 Tb 0.750 0.097 0.408
Y1 Y 0.250 0.487 0.378
Y2 Y 0.750 0.513 0.622
Y3 Y 0.250 0.362 0.814
Y4 Y 0.750 0.638 0.186
Y5 Y 0.250 0.812 0.007
Y6 Y 0.750 0.188 0.993
Pd1 Pd 0.250 0.436 0.083
Pd2 Pd 0.750 0.564 0.917
Pd3 Pd 0.250 0.146 0.190
Pd4 Pd 0.750 0.854 0.810
Pd5 Pd 0.250 0.667 0.750
Pd6 Pd 0.750 0.333 0.250
Pd7 Pd 0.250 0.264 0.555
Pd8 Pd 0.750 0.736 0.445
Pd9 Pd 0.250 0.855 0.301
Pd10 Pd 0.750 0.145 0.699
Pd11 Pd 0.250 0.040 0.844
Pd12 Pd 0.750 0.960 0.156
# Spin magnetization: 0.00 Bohr magnetons per cell
# V: 415.6 Å³ per cell
# Formation energy: -0.841 eV/atom
# Calculated total energy: -127.2 eV/cell

=====

2.
# Tb2YPd (PBE-GGA, relaxed)
data_Tb2YPd
_chemical_formula_sum 'Tb2 Y1 Pd1'
_space_group_name_H-M_alt 'P 1'
_space_group_IT_number 1
_space_group_name_Hall 'P 1'
_cell_length_a 3.680
_cell_length_b 3.680
_cell_length_c 10.015
_cell_angle_alpha 79.41
_cell_angle_beta 79.41
_cell_angle_gamma 60.00
loop_
_atom_site_label
_atom_site_type_symbol
_atom_site_fract_x
_atom_site_fract_y
_atom_site_fract_z
Y1 Y 0.500 0.500 0.500
Tb1 Tb 0.267 0.267 0.198
Tb2 Tb 0.733 0.733 0.802
Pd1 Pd 0.000 0.000 0.000
# Spin magnetization: 0.00 Bohr magnetons per cell
# E above lowest polymorph: 174 meV/atom
# V: 114.8 Å³ per cell
# Formation energy: -0.296 eV/atom
# Calculated total energy: -22.1 eV/cell

=====

3.
# TbY2Pd3 (PBE-GGA, relaxed)
data_TbY2Pd3
_chemical_formula_sum 'Tb2 Y4 Pd6'
_space_group_name_H-M_alt 'P 1'
_space_group_IT_number 1
_space_group_name_Hall 'P 1'
_cell_length_a 3.447
_cell_length_b 5.028
_cell_length_c 15.081
_cell_angle_alpha 90.00
_cell_angle_beta 90.00
_cell_angle_gamma 90.00
loop_
_atom_site_label
_atom_site_type_symbol
_atom_site_fract_x
_atom_site_fract_y
_atom_site_fract_z
Tb1 Tb 0.000 0.500 0.500
Tb2 Tb 0.000 0.000 0.000
Y1 Y 0.000 0.000 0.667
Y2 Y 0.000 0.000 0.333
Y3 Y 0.000 0.500 0.167
Y4 Y 0.000 0.500 0.833
Pd1 Pd 0.500 0.500 0.666
Pd2 Pd 0.501 0.000 0.500
Pd3 Pd 0.500 0.500 0.334
Pd4 Pd 0.500 0.000 0.166
Pd5 Pd 0.499 0.500 0.000
Pd6 Pd 0.500 0.000 0.834
# Spin magnetization: 0.00 Bohr magnetons per cell
# V: 261.3 Å³ per cell
# Formation energy: -0.876 eV/atom
# Calculated total energy: -76.8 eV/cell

=====

4.
# Tb2Y3Pd2 (PBE-GGA, relaxed)
data_Tb2Y3Pd2
_chemical_formula_sum 'Tb2 Y3 Pd2'
_space_group_name_H-M_alt 'P 1'
_space_group_IT_number 1
_space_group_name_Hall 'P 1'
_cell_length_a 3.712
_cell_length_b 6.497
_cell_length_c 9.147
_cell_angle_alpha 115.40
_cell_angle_beta 90.00
_cell_angle_gamma 106.60
loop_
_atom_site_label
_atom_site_type_symbol
_atom_site_fract_x
_atom_site_fract_y
_atom_site_fract_z
Tb1 Tb 0.840 0.680 0.187
Tb2 Tb 0.160 0.320 0.813
Y1 Y 0.500 0.000 0.000
Y2 Y 0.613 0.225 0.438
Y3 Y 0.387 0.775 0.562
Pd1 Pd 0.827 0.654 0.765
Pd2 Pd 0.173 0.346 0.235
# Spin magnetization: 0.00 Bohr magnetons per cell
# E above lowest polymorph: 0 meV/atom
# V: 189.1 Å³ per cell
# Formation energy: -0.515 eV/atom
# Calculated total energy: -42.6 eV/cell